No. 1
# TlCuIr3, relaxed, DFT PBE
# DFT formation energy   137.6 kJ/mol of atoms
# Calculated volume   18.8 Å³/atom
# Raw total energy   -5.18 eV per atom
# Energy above the most stable polymorph in this dataset   0 meV per atom
data_TlCuIr3
_chemical_formula_sum 'Tl1 Cu1 Ir3'
_cell_length_a 4.543
_cell_length_b 4.543
_cell_length_c 4.543
_cell_angle_alpha 90.00
_cell_angle_beta 90.00
_cell_angle_gamma 90.00
_space_group_name_H-M_alt 'P m -3 m'
_space_group_IT_number 221
_space_group_name_Hall '-P 4 2 3'
loop_
_atom_site_label
_atom_site_type_symbol
_atom_site_fract_x
_atom_site_fract_y
_atom_site_fract_z
Tl1 Tl 0.000 0.000 0.000
Cu1 Cu 0.500 0.500 0.500
Ir1 Ir 0.000 0.500 0.500

=====

No. 2
# TlCu2Ir, relaxed, DFT PBE
# DFT formation energy   36.1 kJ/mol of atoms
# Calculated volume   15.8 Å³/atom
# Raw total energy   -4.48 eV per atom
# Energy above the most stable polymorph in this dataset   122 meV per atom
data_TlCu2Ir
_chemical_formula_sum 'Tl2 Cu4 Ir2'
_cell_length_a 3.089
_cell_length_b 4.531
_cell_length_c 9.046
_cell_angle_alpha 90.00
_cell_angle_beta 90.00
_cell_angle_gamma 90.00
_space_group_name_H-M_alt 'I m m m'
_space_group_IT_number 71
_space_group_name_Hall '-I 2 2'
loop_
_atom_site_label
_atom_site_type_symbol
_atom_site_fract_x
_atom_site_fract_y
_atom_site_fract_z
Tl1 Tl 0.000 0.000 0.000
Cu1 Cu 0.000 0.500 0.240
Ir1 Ir 0.000 0.000 0.500

=====

No. 3
# TlCu2Ir, relaxed, DFT PBE
# DFT formation energy   28.7 kJ/mol of atoms
# Calculated volume   15.7 Å³/atom
# Raw total energy   -4.56 eV per atom
# Energy above the most stable polymorph in this dataset   45 meV per atom
data_TlCu2Ir
_chemical_formula_sum 'Tl2 Cu4 Ir2'
_cell_length_a 5.797
_cell_length_b 3.946
_cell_length_c 6.106
_cell_angle_alpha 90.00
_cell_angle_beta 115.88
_cell_angle_gamma 90.00
_space_group_name_H-M_alt 'P 1 m 1'
_space_group_IT_number 6
_space_group_name_Hall 'P -2y'
loop_
_atom_site_label
_atom_site_type_symbol
_atom_site_fract_x
_atom_site_fract_y
_atom_site_fract_z
Tl1 Tl 0.000 0.000 0.000
Tl2 Tl 0.143 0.500 0.664
Cu1 Cu 0.331 0.000 0.477
Cu2 Cu 0.412 0.500 0.241
Cu3 Cu 0.638 0.500 0.708
Cu4 Cu 0.806 0.500 0.182
Ir1 Ir 0.486 0.000 0.966
Ir2 Ir 0.764 0.000 0.461

=====

No. 4
# TlCu2Ir, relaxed, DFT PBE
# DFT formation energy   25.2 kJ/mol of atoms
# Calculated volume   15.3 Å³/atom
# Raw total energy   -4.59 eV per atom
# Energy above the most stable polymorph in this dataset   9 meV per atom
data_TlCu2Ir
_chemical_formula_sum 'Tl1 Cu2 Ir1'
_cell_length_a 3.948
_cell_length_b 3.948
_cell_length_c 3.926
_cell_angle_alpha 90.00
_cell_angle_beta 90.00
_cell_angle_gamma 90.00
_space_group_name_H-M_alt 'P 4/m m m'
_space_group_IT_number 123
_space_group_name_Hall '-P 4 2'
loop_
_atom_site_label
_atom_site_type_symbol
_atom_site_fract_x
_atom_site_fract_y
_atom_site_fract_z
Tl1 Tl 0.000 0.000 0.000
Cu1 Cu 0.000 0.500 0.500
Ir1 Ir 0.500 0.500 0.000

=====

No. 5
# TlCu2Ir, relaxed, DFT PBE
# DFT formation energy   26.7 kJ/mol of atoms
# Calculated volume   15.6 Å³/atom
# Raw total energy   -4.58 eV per atom
# Energy above the most stable polymorph in this dataset   25 meV per atom
data_TlCu2Ir
_chemical_formula_sum 'Tl4 Cu8 Ir4'
_cell_length_a 9.552
_cell_length_b 5.939
_cell_length_c 4.631
_cell_angle_alpha 90.00
_cell_angle_beta 108.02
_cell_angle_gamma 90.00
_space_group_name_H-M_alt 'C 1 m 1'
_space_group_IT_number 8
_space_group_name_Hall 'C -2y'
loop_
_atom_site_label
_atom_site_type_symbol
_atom_site_fract_x
_atom_site_fract_y
_atom_site_fract_z
Tl1 Tl 0.000 0.000 0.000
Tl2 Tl 0.231 0.500 0.431
Cu1 Cu 0.242 0.000 0.488
Cu2 Cu 0.245 0.222 0.958
Cu3 Cu 0.475 0.000 0.963
Ir1 Ir 0.483 0.229 0.483

=====

No. 6
# TlCu2Ir, relaxed, DFT PBE
# DFT formation energy   32.6 kJ/mol of atoms
# Calculated volume   15.6 Å³/atom
# Raw total energy   -4.52 eV per atom
# Energy above the most stable polymorph in this dataset   87 meV per atom
data_TlCu2Ir
_chemical_formula_sum 'Tl1 Cu2 Ir1'
_cell_length_a 3.082
_cell_length_b 3.082
_cell_length_c 6.555
_cell_angle_alpha 90.00
_cell_angle_beta 90.00
_cell_angle_gamma 90.00
_space_group_name_H-M_alt 'P 4 m m'
_space_group_IT_number 99
_space_group_name_Hall 'P 4 -2'
loop_
_atom_site_label
_atom_site_type_symbol
_atom_site_fract_x
_atom_site_fract_y
_atom_site_fract_z
Tl1 Tl 0.000 0.000 0.000
Cu1 Cu 0.000 0.000 0.485
Cu2 Cu 0.500 0.500 0.295
Ir1 Ir 0.500 0.500 0.708

=====

No. 7
# TlCu2Ir, relaxed, DFT PBE
# DFT formation energy   46.7 kJ/mol of atoms
# Calculated volume   16.1 Å³/atom
# Raw total energy   -4.37 eV per atom
# Energy above the most stable polymorph in this dataset   232 meV per atom
data_TlCu2Ir
_chemical_formula_sum 'Tl3 Cu6 Ir3'
_cell_length_a 2.9372
_cell_length_b 2.9372
_cell_length_c 25.9193
_cell_angle_alpha 90.00
_cell_angle_beta 90.00
_cell_angle_gamma 120.00
_space_group_name_H-M_alt 'R 3 m'
_space_group_IT_number 160
_space_group_name_Hall 'R 3 -2"'
loop_
_atom_site_label
_atom_site_type_symbol
_atom_site_fract_x
_atom_site_fract_y
_atom_site_fract_z
Tl1 Tl 0.0000 0.0000 0.0000
Cu1 Cu 0.0000 0.0000 0.2405
Cu2 Cu 0.0000 0.0000 0.5021
Ir1 Ir 0.0000 0.0000 0.7581

=====

No. 8
# Y2TlCuIr, relaxed, DFT PBE
# DFT formation energy   3.9 kJ/mol of atoms
# Calculated volume   29.6 Å³/atom
# Raw total energy   -5.61 eV per atom
data_Y2TlCuIr
_chemical_formula_sum 'Y2 Tl1 Cu1 Ir1'
_cell_length_a 5.345
_cell_length_b 5.345
_cell_length_c 5.182
_cell_angle_alpha 90.00
_cell_angle_beta 90.00
_cell_angle_gamma 90.00
_space_group_name_H-M_alt 'P 4/m m m'
_space_group_IT_number 123
_space_group_name_Hall '-P 4 2'
loop_
_atom_site_label
_atom_site_type_symbol
_atom_site_fract_x
_atom_site_fract_y
_atom_site_fract_z
Y1 Y 0.000 0.500 0.000
Tl1 Tl 0.000 0.000 0.500
Cu1 Cu 0.500 0.500 0.500
Ir1 Ir 0.000 0.000 0.000

=====

No. 9
# Tl2ZnCuIr, relaxed, DFT PBE
# DFT formation energy   84.4 kJ/mol of atoms
# Calculated volume   24.3 Å³/atom
# Raw total energy   -2.92 eV per atom
data_Tl2ZnCuIr
_chemical_formula_sum 'Tl2 Zn1 Cu1 Ir1'
_cell_length_a 5.040
_cell_length_b 5.040
_cell_length_c 4.775
_cell_angle_alpha 90.00
_cell_angle_beta 90.00
_cell_angle_gamma 90.00
_space_group_name_H-M_alt 'P 4/m m m'
_space_group_IT_number 123
_space_group_name_Hall '-P 4 2'
loop_
_atom_site_label
_atom_site_type_symbol
_atom_site_fract_x
_atom_site_fract_y
_atom_site_fract_z
Tl1 Tl 0.000 0.500 0.000
Zn1 Zn 0.000 0.000 0.500
Cu1 Cu 0.500 0.500 0.000
Ir1 Ir 0.500 0.500 0.500

=====

No. 10
# Tm6Cu5Ir, relaxed, DFT PBE
# DFT formation energy   -40.6 kJ/mol of atoms
# Calculated volume   19.9 Å³/atom
# Raw total energy   -5.10 eV per atom
data_Tm6Cu5Ir
_chemical_formula_sum 'Tm6 Cu5 Ir1'
_cell_length_a 4.818
_cell_length_b 6.827
_cell_length_c 7.647
_cell_angle_alpha 90.00
_cell_angle_beta 108.29
_cell_angle_gamma 90.00
_space_group_name_H-M_alt 'P 1 2/m 1'
_space_group_IT_number 10
_space_group_name_Hall '-P 2y'
loop_
_atom_site_label
_atom_site_type_symbol
_atom_site_fract_x
_atom_site_fract_y
_atom_site_fract_z
Tm1 Tm 0.000 0.244 0.000
Tm2 Tm 0.336 0.248 0.672
Cu1 Cu 0.164 0.500 0.328
Cu2 Cu 0.169 0.000 0.341
Cu3 Cu 0.500 0.500 0.000
Ir1 Ir 0.500 0.000 0.000

=====

No. 11
# Tm4Cu2Ir, relaxed, DFT PBE
# DFT formation energy   -41.0 kJ/mol of atoms
# Calculated volume   22.7 Å³/atom
# Raw total energy   -5.42 eV per atom
# Energy above the most stable polymorph in this dataset   0 meV per atom
data_Tm4Cu2Ir
_chemical_formula_sum 'Tm8 Cu4 Ir2'
_cell_length_a 6.824
_cell_length_b 7.424
_cell_length_c 7.430
_cell_angle_alpha 105.67
_cell_angle_beta 106.91
_cell_angle_gamma 107.05
_space_group_name_H-M_alt 'P 1'
_space_group_IT_number 1
_space_group_name_Hall 'P 1'
loop_
_atom_site_label
_atom_site_type_symbol
_atom_site_fract_x
_atom_site_fract_y
_atom_site_fract_z
Tm1 Tm 0.000 0.000 0.000
Tm2 Tm 0.010 0.927 0.437
Tm3 Tm 0.140 0.390 0.773
Tm4 Tm 0.430 0.897 0.817
Tm5 Tm 0.501 0.619 0.392
Tm6 Tm 0.515 0.059 0.317
Tm7 Tm 0.642 0.395 0.778
Tm8 Tm 0.931 0.428 0.276
Cu1 Cu 0.120 0.688 0.084
Cu2 Cu 0.451 0.288 0.051
Cu3 Cu 0.604 0.699 0.072
Cu4 Cu 0.951 0.661 0.665
Ir1 Ir 0.251 0.280 0.424
Ir2 Ir 0.752 0.042 0.668

=====

No. 12
# Tm2CuIr2, relaxed, DFT PBE
# DFT formation energy   -70.8 kJ/mol of atoms
# Calculated volume   19.2 Å³/atom
# Raw total energy   -6.89 eV per atom
data_Tm2CuIr2
_chemical_formula_sum 'Tm4 Cu2 Ir4'
_cell_length_a 4.180
_cell_length_b 5.688
_cell_length_c 8.094
_cell_angle_alpha 90.00
_cell_angle_beta 90.00
_cell_angle_gamma 90.00
_space_group_name_H-M_alt 'I m m m'
_space_group_IT_number 71
_space_group_name_Hall '-I 2 2'
loop_
_atom_site_label
_atom_site_type_symbol
_atom_site_fract_x
_atom_site_fract_y
_atom_site_fract_z
Tm1 Tm 0.000 0.000 0.206
Cu1 Cu 0.000 0.500 0.000
Ir1 Ir 0.000 0.273 0.500

=====

What did the sixth record say?
# TlCu2Ir, relaxed, DFT PBE
# DFT formation energy   32.6 kJ/mol of atoms
# Calculated volume   15.6 Å³/atom
# Raw total energy   -4.52 eV per atom
# Energy above the most stable polymorph in this dataset   87 meV per atom
data_TlCu2Ir
_chemical_formula_sum 'Tl1 Cu2 Ir1'
_cell_length_a 3.082
_cell_length_b 3.082
_cell_length_c 6.555
_cell_angle_alpha 90.00
_cell_angle_beta 90.00
_cell_angle_gamma 90.00
_space_group_name_H-M_alt 'P 4 m m'
_space_group_IT_number 99
_space_group_name_Hall 'P 4 -2'
loop_
_atom_site_label
_atom_site_type_symbol
_atom_site_fract_x
_atom_site_fract_y
_atom_site_fract_z
Tl1 Tl 0.000 0.000 0.000
Cu1 Cu 0.000 0.000 0.485
Cu2 Cu 0.500 0.500 0.295
Ir1 Ir 0.500 0.500 0.708